# 1
Density functional theory data (PBEsol) for a geometry-optimized Zr3Hg structure.

Lattice parameters (Å, degrees): 5.140 6.028 5.478 90.00 90.00 90.00
Space group Pmmn (No. 59, origin choice 2)
Unique sites:
Zr 0.250 0.000 0.142
Zr 0.250 0.250 0.640
Hg 0.250 0.750 0.656

Results
The value obtained for the electronic total energy is -7.112 eV/atom.

***

# 2
Density functional theory data (PBEsol) for a geometry-optimized Zr5Hg structure.

Lattice parameters (Å, degrees): 5.138 3.133 16.156 90.00 90.00 90.00
Space group Amm2 (No. 38)
Unique sites:
Zr 0.000 0.000 0.000
Zr 0.000 0.000 0.327
Zr 0.500 0.000 0.205
Zr 0.500 0.000 0.541
Zr 0.500 0.000 0.877
Hg 0.000 0.000 0.660

Results
Its excess energy over the best structure of this formula in the dataset is 0.054 eV/atom. The value obtained for the electronic total energy is -7.727 eV/atom.

***

# 3
Density functional theory data (PBEsol) for a geometry-optimized ZrHg structure.

Lattice parameters (Å, degrees): 5.853 4.839 5.915 90.00 90.00 90.00
Space group Pnma (No. 62)
Unique sites:
Zr 0.136 0.250 0.127
Hg 0.097 0.250 0.627

Results
The value obtained for the electronic total energy is -5.044 eV/atom.

***

# 4
Density functional theory data (PBEsol) for a geometry-optimized ZrHg3 structure.

Lattice parameters (Å, degrees): 3.000 4.689 6.031 90.00 93.32 90.00
Space group P2/m (No. 10)
Unique sites:
Zr 0.000 0.000 0.000
Hg 0.458 0.500 0.764
Hg 0.500 0.000 0.500

Results
The value obtained for the electronic total energy is -2.813 eV/atom.

***

- electronic total energy of number 1 (Zr3Hg)?
  -7.112 eV/atom